(1)
A relaxed Y2AgAu3 crystal. Source: Alexandria via LeMat-Bulk, functional PBE-GGA.

Properties
- symmetry = P-3m1
- ρ (kg/m3) = 11160
- V (Å³/cell) = 260.9
- energy of formation (meV/atom) = -686
- crystal system = trigonal
- DFT total energy (eV/atom) = -4.95

a = 4.9981 Å, b = 4.9981 Å, c = 12.0573 Å
α = 90.00°, β = 90.00°, γ = 120.00°
Positions (direct):
Y 0.3333 0.6667 0.1889
Y 0.0000 0.0000 0.5000
Y 0.0000 0.0000 0.0000
Y 0.6667 0.3333 0.8111
Au 0.0000 0.0000 0.2465
Au 0.6667 0.3333 0.5660
Au 0.0000 0.0000 0.7535
Au 0.3333 0.6667 0.9303
Au 0.6667 0.3333 0.0697
Au 0.3333 0.6667 0.4340
Ag 0.3333 0.6667 0.6753
Ag 0.6667 0.3333 0.3247


(2)
A relaxed YAg2Au2 crystal. Source: Alexandria via LeMat-Bulk, functional PBE-GGA.

Properties
- symmetry = I4/mmm
- ρ (kg/m3) = 10864
- V (Å³/cell) = 106.8
- energy of formation (meV/atom) = -191
- crystal system = tetragonal
- DFT total energy (eV/atom) = -3.94

a = 4.0207 Å, b = 4.0207 Å, c = 7.1905 Å
α = 73.76°, β = 73.76°, γ = 90.00°
Positions (direct):
Au 0.2500 0.7500 0.5000
Au 0.7500 0.2500 0.5000
Ag 0.6010 0.6010 0.7980
Ag 0.3990 0.3990 0.2020
Y 0.0000 0.0000 0.0000


(3)
A relaxed YAgAu2 crystal. Source: Alexandria via LeMat-Bulk, functional PBE-GGA.

Properties
- symmetry = Pm
- ρ (kg/m3) = 11280
- V (Å³/cell) = 87.0
- energy of formation (meV/atom) = -460
- crystal system = monoclinic
- DFT total energy (eV/atom) = -4.43

a = 4.4739 Å, b = 3.6168 Å, c = 5.6770 Å
α = 71.20°, β = 90.00°, γ = 90.00°
Positions (direct):
Ag 0.5000 0.7815 0.8121
Y 0.0000 0.4670 0.4386
Au 0.5000 0.0487 0.2777
Au 0.0000 0.2028 0.9716


(4)
A relaxed Y6AgAu5 crystal. Source: Alexandria via LeMat-Bulk, functional PBE-GGA.

Properties
- symmetry = P2/m
- ρ (kg/m3) = 9546
- V (Å³/cell) = 282.9
- energy of formation (meV/atom) = -778
- crystal system = monoclinic
- DFT total energy (eV/atom) = -5.61

a = 5.1209 Å, b = 7.1726 Å, c = 8.1125 Å
α = 90.00°, β = 71.69°, γ = 90.00°
Positions (direct):
Au 0.3396 0.0000 0.3201
Au 0.6604 0.0000 0.6799
Au 0.6680 0.5000 0.6646
Au 0.0000 0.5000 0.0000
Au 0.3320 0.5000 0.3354
Y 0.8317 0.7498 0.3363
Y 0.1683 0.2502 0.6637
Y 0.5000 0.2539 0.0000
Y 0.1683 0.7498 0.6637
Y 0.5000 0.7461 0.0000
Y 0.8317 0.2502 0.3363
Ag 0.0000 0.0000 0.0000


(5)
A relaxed YAg2Au2 crystal. Source: Alexandria via LeMat-Bulk, functional PBE-GGA.

Properties
- symmetry = I4/mmm
- ρ (kg/m3) = 10867
- V (Å³/cell) = 106.7
- energy of formation (meV/atom) = -383
- crystal system = tetragonal
- DFT total energy (eV/atom) = -4.13

a = 3.9350 Å, b = 3.9350 Å, c = 7.4343 Å
α = 74.65°, β = 74.65°, γ = 90.00°
Positions (direct):
Ag 0.7500 0.2500 0.5000
Ag 0.2500 0.7500 0.5000
Y 0.0000 0.0000 0.0000
Au 0.5998 0.5998 0.8004
Au 0.4002 0.4002 0.1996


(6)
A relaxed YAg2Au2 crystal. Source: Alexandria via LeMat-Bulk, functional PBE-GGA.

Properties
- symmetry = P4/mbm
- ρ (kg/m3) = 11069
- V (Å³/cell) = 209.6
- energy of formation (meV/atom) = -254
- crystal system = tetragonal
- DFT total energy (eV/atom) = -4.00

a = 7.5107 Å, b = 7.5107 Å, c = 3.7156 Å
α = 90.00°, β = 90.00°, γ = 90.00°
Positions (direct):
Ag 0.6675 0.8325 0.5000
Ag 0.8325 0.3325 0.5000
Ag 0.3325 0.1675 0.5000
Ag 0.1675 0.6675 0.5000
Au 0.3690 0.8690 0.0000
Au 0.6310 0.1310 0.0000
Au 0.1310 0.3690 0.0000
Au 0.8690 0.6310 0.0000
Y 0.0000 0.0000 0.0000
Y 0.5000 0.5000 0.0000